A plane-wave DFT calculation with GGA+U was carried out for a relaxed VAsBr2F crystal.

For the total moment, the calculation gives 0.071 μB per atom. As for the excess energy over the best structure of this formula in the dataset: 244 meV per atom.

The structure belongs to space group P4/mmm (No. 123); the cell edges are 5.5305, 5.5305 and 3.8870 Å and the angles 90.00°, 90.00° and 90.00°. The inequivalent atoms are V at (0.0000, 0.0000, 0.0000), As at (0.5000, 0.5000, 0.0000), Br at (0.0000, 0.5000, 0.5000) and F at (0.5000, 0.5000, 0.5000).